DFT (GGA-PBE) results for a relaxed structure of Pr12Zn3Pb5.

## Properties
M_tot: 0.0 Bohr magnetons per cell
E_form: 126 meV/atom
energy: -3.8598 eV/atom

Cell lengths 15.9240, 15.9240, 15.9240 Å; angles 109.47, 109.47, 109.47 degrees
Closest atoms and distances in Å follow each position.
Sites, in units of the cell vectors:
Pr: 0.4032 0.1323 0.5694  2 Pb 3.09-3.13, 1 Zn 3.18
Pr: 0.0694 0.1662 0.4371  2 Pb 3.09-3.13, 1 Zn 3.18
Pr: 0.0968 0.1662 0.2291  2 Pb 3.09-3.13, 1 Zn 3.18
Pr: 0.4306 0.0629 0.3338  2 Pb 3.09-3.13, 1 Zn 3.18
Pr: 0.6662 0.4371 0.5694  2 Pb 3.09-3.13, 1 Zn 3.18
Pr: 0.1662 0.0694 0.9371  2 Pb 3.09-3.13, 1 Zn 3.18
Pr: 0.0694 0.9032 0.1323  2 Pb 3.09-3.13, 1 Zn 3.18
Pr: 0.3338 0.7709 0.4032  2 Pb 3.09-3.13, 1 Zn 3.18
Pr: 0.5694 0.9371 0.6662  2 Pb 3.09-3.13, 1 Zn 3.18
Pr: 0.3338 0.5629 0.4306  2 Pb 3.09-3.13, 1 Zn 3.18
Pr: 0.7709 0.3338 0.9032  2 Pb 3.09-3.13, 1 Zn 3.18
Pr: 0.7291 0.1323 0.0629  2 Pb 3.09-3.13, 1 Zn 3.18
Pr: 0.1323 0.4032 0.0694  2 Pb 3.09-3.13, 1 Zn 3.18
Pr: 0.7709 0.4371 0.3677  2 Pb 3.09-3.13, 1 Zn 3.18
Pr: 0.0629 0.6323 0.7291  2 Pb 3.09-3.13, 1 Zn 3.18
Pr: 0.9306 0.0968 0.8677  2 Pb 3.09-3.13, 1 Zn 3.18
Pr: 0.4371 0.6662 0.0694  2 Pb 3.09-3.13, 1 Zn 3.18
Pr: 0.7291 0.5968 0.1662  2 Pb 3.09-3.13, 1 Zn 3.18
Pr: 0.9306 0.8338 0.5629  2 Pb 3.09-3.13, 1 Zn 3.18
Pr: 0.4032 0.2709 0.3338  2 Pb 3.09-3.13, 1 Zn 3.18
Pr: 0.6323 0.0629 0.2291  2 Pb 3.09-3.13, 1 Zn 3.18
Pr: 0.2291 0.6662 0.0968  2 Pb 3.09-3.13, 1 Zn 3.18
Pr: 0.9371 0.5694 0.1662  2 Pb 3.09-3.13, 1 Zn 3.18
Pr: 0.5629 0.3338 0.9306  2 Pb 3.09-3.13, 1 Zn 3.18
Pr: 0.5629 0.2291 0.1323  2 Pb 3.09-3.13, 1 Zn 3.18
Pr: 0.8338 0.9032 0.2709  2 Pb 3.09-3.13, 1 Zn 3.18
Pr: 0.2709 0.4032 0.8338  2 Pb 3.09-3.13, 1 Zn 3.18
Pr: 0.0968 0.9306 0.3677  2 Pb 3.09-3.13, 1 Zn 3.18
Pr: 0.5694 0.6323 0.4032  2 Pb 3.09-3.13, 1 Zn 3.18
Pr: 0.8677 0.5968 0.9306  2 Pb 3.09-3.13, 1 Zn 3.18
Pr: 0.1323 0.7291 0.5629  2 Pb 3.09-3.13, 1 Zn 3.18
Pr: 0.0629 0.4306 0.8338  2 Pb 3.09-3.13, 1 Zn 3.18
Pr: 0.5968 0.7291 0.6662  2 Pb 3.09-3.13, 1 Zn 3.18
Pr: 0.6662 0.2291 0.5968  2 Pb 3.09-3.13, 1 Zn 3.18
Pr: 0.2291 0.5629 0.6323  2 Pb 3.09-3.13, 1 Zn 3.18
Pr: 0.2709 0.8677 0.9371  2 Pb 3.09-3.13, 1 Zn 3.18
Pr: 0.3677 0.4306 0.0968  2 Pb 3.09-3.13, 1 Zn 3.18
Pr: 0.8338 0.9306 0.0629  2 Pb 3.09-3.13, 1 Zn 3.18
Pr: 0.6323 0.5694 0.9032  2 Pb 3.09-3.13, 1 Zn 3.18
Pr: 0.1662 0.0968 0.7291  2 Pb 3.09-3.13, 1 Zn 3.18
Pr: 0.9371 0.3677 0.2709  2 Pb 3.09-3.13, 1 Zn 3.18
Pr: 0.9032 0.8338 0.7709  2 Pb 3.09-3.13, 1 Zn 3.18
Pr: 0.4306 0.3677 0.5968  2 Pb 3.09-3.13, 1 Zn 3.18
Pr: 0.5968 0.8677 0.4306  2 Pb 3.09-3.13, 1 Zn 3.18
Pr: 0.3677 0.9371 0.7709  2 Pb 3.09-3.13, 1 Zn 3.18
Pr: 0.8677 0.2709 0.4371  2 Pb 3.09-3.13, 1 Zn 3.18
Pr: 0.4371 0.7709 0.8677  2 Pb 3.09-3.13, 1 Zn 3.18
Pr: 0.9032 0.0694 0.6323  2 Pb 3.09-3.13, 1 Zn 3.18
Pb: 0.0000 0.5000 0.0000  6 Pr 3.13
Pb: 0.0000 0.5000 0.5000  6 Pr 3.13
Pb: 0.0000 0.0000 0.5000  6 Pr 3.13
Pb: 0.2500 0.3750 0.6250  4 Pr 3.09
Pb: 0.1250 0.3750 0.2500  4 Pr 3.09
Pb: 0.0000 0.0000 0.0000  6 Pr 3.13
Pb: 0.5000 0.5000 0.0000  6 Pr 3.13
Pb: 0.5000 0.5000 0.5000  6 Pr 3.13
Pb: 0.5000 0.0000 0.0000  6 Pr 3.13
Pb: 0.8750 0.6250 0.7500  4 Pr 3.09
Pb: 0.7500 0.1250 0.8750  4 Pr 3.09
Pb: 0.5000 0.0000 0.5000  6 Pr 3.13
Pb: 0.7500 0.6250 0.3750  4 Pr 3.09
Pb: 0.3750 0.2500 0.1250  4 Pr 3.09
Pb: 0.6250 0.7500 0.8750  4 Pr 3.09
Pb: 0.8750 0.2500 0.6250  4 Pr 3.09
Pb: 0.2500 0.8750 0.1250  4 Pr 3.09
Pb: 0.3750 0.1250 0.7500  4 Pr 3.09
Pb: 0.1250 0.7500 0.3750  4 Pr 3.09
Pb: 0.6250 0.8750 0.2500  4 Pr 3.09
Zn: 0.2500 0.1250 0.3750  8 Pr 3.18-3.52
Zn: 0.3750 0.6250 0.2500  8 Pr 3.18-3.52
Zn: 0.2500 0.6250 0.8750  8 Pr 3.18-3.52
Zn: 0.7500 0.3750 0.1250  8 Pr 3.18-3.52
Zn: 0.1250 0.8750 0.7500  8 Pr 3.18-3.52
Zn: 0.6250 0.2500 0.3750  8 Pr 3.18-3.52
Zn: 0.7500 0.8750 0.6250  8 Pr 3.18-3.52
Zn: 0.6250 0.3750 0.7500  8 Pr 3.18-3.52
Zn: 0.3750 0.7500 0.6250  8 Pr 3.18-3.52
Zn: 0.8750 0.7500 0.1250  8 Pr 3.18-3.52
Zn: 0.1250 0.2500 0.8750  8 Pr 3.18-3.52
Zn: 0.8750 0.1250 0.2500  8 Pr 3.18-3.52

***

DFT (GGA-PBE) results for a relaxed structure of SrSi2Br.

## Properties
M_tot: 0.0 Bohr magnetons per cell
energy: -3.0648 eV/atom
distance to the lowest polymorph of the same formula: 1.1375 eV/atom
formation energy (no corrections): 0.485 eV/atom

Cell lengths 5.2582, 5.2582, 5.2582 Å; angles 60.00, 60.00, 60.00 degrees
Closest atoms and distances in Å follow each position.
Sites, in units of the cell vectors:
Br: 0.0000 0.0000 0.0000  8 Si 3.22
Si: 0.2500 0.2500 0.2500  4 Sr 3.22, 4 Br 3.22
Si: 0.7500 0.7500 0.7500  4 Sr 3.22, 4 Br 3.22
Sr: 0.5000 0.5000 0.5000  8 Si 3.22

***

DFT (GGA-PBE) results for a relaxed structure of Hf7In3.

## Properties
M_tot: 0.0 Bohr magnetons per cell
E_form: -50 meV/atom
energy: -7.8388 eV/atom

Cell lengths 3.1490, 6.2442, 11.4984 Å; angles 98.39, 97.87, 90.00 degrees
Closest atoms and distances in Å follow each position.
Sites, in units of the cell vectors:
Hf: 0.4018 0.6994 0.8036  8 Hf 3.09-3.25, 4 In 3.13-3.14
Hf: 0.0000 0.5000 0.0000  2 In 3.12, 10 Hf 3.14-3.17
Hf: 0.2025 0.1021 0.4050  8 Hf 3.10-3.25, 4 In 3.11-3.15
Hf: 0.4000 0.1940 0.8000  8 Hf 3.09-3.17, 4 In 3.13-3.15
Hf: 0.5982 0.3006 0.1964  8 Hf 3.09-3.25, 4 In 3.13-3.14
Hf: 0.6000 0.8060 0.2000  8 Hf 3.09-3.17, 4 In 3.13-3.15
Hf: 0.7975 0.8979 0.5950  8 Hf 3.10-3.25, 4 In 3.11-3.15
In: 0.8031 0.3978 0.6062  8 Hf 3.11-3.15, 4 In 3.15-3.30
In: 0.1969 0.6022 0.3938  8 Hf 3.11-3.15, 4 In 3.15-3.30
In: 0.0000 0.0000 0.0000  10 Hf 3.12-3.15, 2 In 3.15

***

DFT (GGA-PBE) results for a relaxed structure of ZrTe.

## Properties
M_tot: 0.0 Bohr magnetons per cell
energy: -6.6080 eV/atom
formation energy (no corrections): -0.763 eV/atom

Cell lengths 3.5678, 3.5678, 3.5678 Å; angles 90.00, 90.00, 90.00 degrees
Closest atoms and distances in Å follow each position.
Sites, in units of the cell vectors:
Zr: 0.0000 0.0000 0.0000  8 Te 3.09
Te: 0.5000 0.5000 0.5000  8 Zr 3.09

***

DFT (GGA-PBE) results for a relaxed structure of NdGdTl4.

## Properties
M_tot: 7.7 Bohr magnetons per cell
E_form: -123 meV/atom
energy: -4.8423 eV/atom

Cell lengths 6.2449, 6.2449, 6.2449 Å; angles 60.00, 60.00, 60.00 degrees
Closest atoms and distances in Å follow each position.
Sites, in units of the cell vectors:
Tl: 0.6250 0.6250 0.6250  6 Tl 3.12
Tl: 0.6250 0.6250 0.1249  6 Tl 3.12
Tl: 0.6250 0.1249 0.6250  6 Tl 3.12
Tl: 0.1249 0.6250 0.6250  6 Tl 3.12
Gd: 0.0000 0.0000 0.0000  12 Tl 3.66, 4 Nd 3.82
Nd: 0.2500 0.2500 0.2500  12 Tl 3.66, 4 Gd 3.82

***

DFT (GGA-PBE) results for a relaxed structure of Na3TaIr.

## Properties
M_tot: 4.5 Bohr magnetons per cell
E_form: 2420 meV/atom
energy: -2.5144 eV/atom
distance to the lowest polymorph of the same formula: 0.4540 eV/atom

Cell lengths 5.6918, 5.6918, 5.6918 Å; angles 90.00, 90.00, 90.00 degrees
Closest atoms and distances in Å follow each position.
Sites, in units of the cell vectors:
Na: 0.5000 0.0000 0.0000  2 Ta 2.85
Na: 0.0000 0.5000 0.0000  2 Ta 2.85
Na: 0.0000 0.0000 0.5000  2 Ta 2.85
Ir: 0.5000 0.5000 0.5000  12 Na 4.02
Ta: 0.0000 0.0000 0.0000  6 Na 2.85

***

DFT (GGA-PBE) results for a relaxed structure of Li2InMo.

## Properties
M_tot: 0.4 Bohr magnetons per cell
E_form: 309 meV/atom
energy: -4.0398 eV/atom

Cell lengths 2.7781, 4.2397, 5.9280 Å; angles 90.00, 90.00, 90.00 degrees
Closest atoms and distances in Å follow each position.
Sites, in units of the cell vectors:
Mo: 0.0000 0.0000 0.4999  2 Mo 2.78, 4 In 2.90, 6 Li 2.90-3.03
Li: 0.0000 0.0000 0.0102  6 Li 2.78-2.91, 2 Mo 2.90-3.03, 4 In 3.00
Li: 0.5000 0.5000 0.2519  6 Li 2.78-2.91, 2 In 2.88-3.05, 4 Mo 2.93
In: 0.5000 0.5000 0.7380  2 In 2.78, 6 Li 2.88-3.05, 4 Mo 2.90

***

DFT (GGA-PBE) results for a relaxed structure of V2CuRh2.

## Properties
M_tot: 0.0 Bohr magnetons per cell
E_form: -53 meV/atom
energy: -7.4604 eV/atom
distance to the lowest polymorph of the same formula: 0.0728 eV/atom

Cell lengths 7.3176, 7.3176, 2.7091 Å; angles 90.00, 90.00, 90.00 degrees
Closest atoms and distances in Å follow each position.
Sites, in units of the cell vectors:
V: 0.1471 0.3529 0.0000  6 Rh 2.51-2.55, 2 V 2.71, 2 Cu 2.80
V: 0.3529 0.8529 0.0000  6 Rh 2.51-2.55, 2 V 2.71, 2 Cu 2.80
V: 0.6471 0.1471 0.0000  6 Rh 2.51-2.55, 2 V 2.71, 2 Cu 2.80
V: 0.8529 0.6471 0.0000  6 Rh 2.51-2.55, 2 V 2.71, 2 Cu 2.80
Rh: 0.1482 0.6482 0.5000  6 V 2.51-2.55, 2 Rh 2.71
Rh: 0.8518 0.3518 0.5000  6 V 2.51-2.55, 2 Rh 2.71
Rh: 0.3518 0.1482 0.5000  6 V 2.51-2.55, 2 Rh 2.71
Rh: 0.6482 0.8518 0.5000  6 V 2.51-2.55, 2 Rh 2.71
Cu: 0.5000 0.5000 0.0000  2 Cu 2.71, 4 V 2.80
Cu: 0.0000 0.0000 0.0000  2 Cu 2.71, 4 V 2.80

***

DFT (GGA-PBE) results for a relaxed structure of Sm2TaGe4Pt3.

## Properties
M_tot: 0.0 Bohr magnetons per cell
E_form: -799 meV/atom
energy: -6.5876 eV/atom

Cell lengths 4.2500, 4.2500, 10.8097 Å; angles 90.00, 90.00, 90.00 degrees
Closest atoms and distances in Å follow each position.
Sites, in units of the cell vectors:
Pt: 0.5000 0.0000 0.8718  5 Ge 2.48-2.54
Pt: 0.0000 0.0000 0.5000  4 Ge 2.63
Pt: 0.0000 0.5000 0.1282  5 Ge 2.48-2.54
Ta: 0.5000 0.5000 0.5000  4 Ge 2.63
Ge: 0.5000 0.5000 0.0000  4 Pt 2.54
Ge: 0.0000 0.5000 0.3573  3 Pt 2.48-2.63, 2 Ta 2.63
Ge: 0.0000 0.0000 0.0000  4 Pt 2.54
Ge: 0.5000 0.0000 0.6427  3 Pt 2.48-2.63, 2 Ta 2.63
Sm: 0.5000 0.0000 0.2400  6 Pt 3.24-3.52, 8 Ge 3.26-3.35, 2 Ta 3.52
Sm: 0.0000 0.5000 0.7600  6 Pt 3.24-3.52, 8 Ge 3.26-3.35, 2 Ta 3.52

***

DFT (GGA-PBE) results for a relaxed structure of ReSiBMo2.

## Properties
M_tot: 0.0 Bohr magnetons per cell
energy: -7.3520 eV/atom
formation energy (no corrections): 1.890 eV/atom

Cell lengths 4.4211, 4.3721, 4.4211 Å; angles 90.00, 90.00, 90.00 degrees
Closest atoms and distances in Å follow each position.
Sites, in units of the cell vectors:
Mo: 0.0000 0.0000 0.5000  2 Si 2.21
Mo: 0.5000 0.0000 0.0000  2 Si 2.21
Re: 0.0000 0.5000 0.0000  2 Si 2.19
B: 0.5000 0.5000 0.5000  8 Mo 3.11, 4 Re 3.13
Si: 0.0000 0.0000 0.0000  2 Re 2.19, 4 Mo 2.21

***

DFT (GGA-PBE) results for a relaxed structure of BaCd11In.

## Properties
M_tot: 0.0 Bohr magnetons per cell
E_form: -129 meV/atom
energy: -1.2619 eV/atom

Cell lengths 6.1684, 7.8506, 7.8471 Å; angles 81.11, 66.86, 66.84 degrees
Closest atoms and distances in Å follow each position.
Sites, in units of the cell vectors:
In: 0.5000 0.5000 0.0000  10 Cd 3.03-3.21
Cd: 0.5000 0.0000 0.5000  10 Cd 2.97-3.18
Cd: 0.7216 0.7835 0.7800  8 Cd 2.97-3.32, 1 In 3.03
Cd: 0.3476 0.6460 0.6421  6 Cd 2.94-3.26, 1 In 3.21
Cd: 0.5017 0.7835 0.2200  8 Cd 2.97-3.32, 1 In 3.03
Cd: 0.9897 0.6460 0.3579  6 Cd 2.94-3.26, 1 In 3.21
Cd: 0.4983 0.2165 0.7800  8 Cd 2.97-3.32, 1 In 3.03
Cd: 0.0000 0.0000 0.5000  10 Cd 2.97-3.18
Cd: 0.0000 0.5000 0.0000  8 Cd 3.00-3.16, 2 In 3.08
Cd: 0.0103 0.3540 0.6421  6 Cd 2.94-3.26, 1 In 3.21
Cd: 0.6524 0.3540 0.3579  6 Cd 2.94-3.26, 1 In 3.21
Cd: 0.2784 0.2165 0.2200  8 Cd 2.97-3.32, 1 In 3.03
Ba: 0.0000 0.0000 0.0000  18 Cd 3.63-3.93, 2 In 3.92

***

DFT (GGA-PBE) results for a relaxed structure of Cr2Fe2Bi.

## Properties
M_tot: 0.0 Bohr magnetons per cell
E_form: 659 meV/atom
energy: -7.3517 eV/atom
distance to the lowest polymorph of the same formula: 0.1227 eV/atom

Cell lengths 7.1359, 7.1359, 2.7885 Å; angles 90.00, 90.00, 90.00 degrees
Closest atoms and distances in Å follow each position.
Sites, in units of the cell vectors:
Cr: 0.8646 0.6354 0.0000  6 Fe 2.41-2.66
Cr: 0.1354 0.3646 0.0000  6 Fe 2.41-2.66
Cr: 0.3646 0.8646 0.0000  6 Fe 2.41-2.66
Cr: 0.6354 0.1354 0.0000  6 Fe 2.41-2.66
Fe: 0.6399 0.8601 0.5000  6 Cr 2.41-2.66
Fe: 0.8601 0.3601 0.5000  6 Cr 2.41-2.66
Fe: 0.1399 0.6399 0.5000  6 Cr 2.41-2.66
Fe: 0.3601 0.1399 0.5000  6 Cr 2.41-2.66
Bi: 0.0000 0.0000 0.0000  4 Cr 2.78, 2 Bi 2.79, 8 Fe 3.09
Bi: 0.5000 0.5000 0.0000  4 Cr 2.78, 2 Bi 2.79, 8 Fe 3.09